Record 1
MgCoIr, optimized geometry, DFT PBE-GGA; Fermi-level density of states = 3.2 states/eV/cell; ΔH_f (0 K) = -0.13 eV per formula unit; V = 43 Å³/cell; excess energy over the best structure of this formula in the dataset = 0.366 eV per formula unit
1.0
-4.761 -2.285 2.824
-4.979 -3.194 -0.936
5.855 1.105 -0.606
Co Ir Mg
1 1 1
Direct
0.988 0.988 0.000
0.348 0.348 0.000
0.664 0.664 0.000

Record 2
ErAgPt, optimized geometry, DFT PBE-GGA; Fermi-level density of states = 1.6 states/eV/cell; ΔH_f (0 K) = -2.26 eV per formula unit; V = 60 Å³/cell; excess energy over the best structure of this formula in the dataset = 0.151 eV per formula unit
1.0
-2.120 -1.818 -2.349
-1.270 -2.054 2.736
-1.633 4.918 0.501
Ag Pt Er
1 1 1
Direct
0.619 0.619 0.238
0.291 0.291 0.582
0.940 0.940 0.880

Record 3
Tb2LuAu, optimized geometry, DFT PBE-GGA; Fermi-level density of states = 5.7 states/eV/cell; ΔH_f (0 K) = -1.50 eV per formula unit; V = 109 Å³/cell; excess energy over the best structure of this formula in the dataset = 0.000 eV per formula unit
1.0
3.627 0.000 0.000
0.000 3.627 0.000
0.000 0.000 8.313
Tb Lu Au
2 1 1
Direct
0.000 0.000 0.787
0.000 0.000 0.213
0.500 0.500 0.500
0.500 0.500 0.000

Record 4
CaTlRuO6, optimized geometry, DFT PBE-GGA; Fermi-level density of states = 8.9 states/eV/cell; formation energy (no corrections) = -10.051 eV per formula unit; V = 257 Å³/cell
1.0
5.577 0.000 0.000
-2.789 4.830 0.000
0.000 0.000 9.526
Ca Tl Ru O
2 2 2 12
Direct
0.000 0.000 0.000
0.000 0.000 0.500
0.333 0.667 0.250
0.667 0.333 0.750
0.667 0.333 0.250
0.333 0.667 0.750
0.664 0.614 0.136
0.950 0.336 0.136
0.336 0.950 0.636
0.050 0.664 0.864
0.386 0.336 0.364
0.950 0.614 0.364
0.614 0.950 0.864
0.664 0.050 0.364
0.050 0.386 0.636
0.386 0.050 0.136
0.614 0.664 0.636
0.336 0.386 0.864